Record 1
# RbCa2BCl, relaxed, DFT PBE
# volume	177	Å³/cell
# ΔE_f (raw)	-0.115	eV/atom
data_RbCa2BCl
_chemical_formula_sum 'Rb1 Ca2 B1 Cl1'
_cell_length_a 5.1532
_cell_length_b 5.1532
_cell_length_c 6.6735
_cell_angle_alpha 90.00
_cell_angle_beta 90.00
_cell_angle_gamma 90.00
_symmetry_space_group_name_H-M 'P 4/m m m'
_symmetry_Int_Tables_number 123
_symmetry_space_group_name_Hall '-P 4 2'
loop_
_atom_site_label
_atom_site_type_symbol
_atom_site_fract_x
_atom_site_fract_y
_atom_site_fract_z
_atom_site_occupancy
Rb1 Rb 0.0000 0.0000 0.0000 1
Ca1 Ca 0.0000 0.5000 0.5000 1
B1 B 0.0000 0.0000 0.5000 1
Cl1 Cl 0.5000 0.5000 0.0000 1



Record 2
# Nd4DyHo2, relaxed, DFT PBE
# volume	1891	Å³/cell
# E_form	59	meV per atom
data_Nd4DyHo2
_chemical_formula_sum 'Nd32 Dy8 Ho16'
_cell_length_a 12.0128
_cell_length_b 24.3035
_cell_length_c 6.4784
_cell_angle_alpha 90.00
_cell_angle_beta 90.00
_cell_angle_gamma 90.00
_symmetry_space_group_name_H-M 'F d d 2'
_symmetry_Int_Tables_number 43
_symmetry_space_group_name_Hall 'F 2 -2d'
loop_
_atom_site_label
_atom_site_type_symbol
_atom_site_fract_x
_atom_site_fract_y
_atom_site_fract_z
_atom_site_occupancy
Nd1 Nd 0.0518 0.4296 0.0000 1
Nd2 Nd 0.0686 0.3562 0.4696 1
Dy1 Dy 0.0000 0.0000 0.0052 1
Ho1 Ho 0.0247 0.2842 0.9457 1



Record 3
# ErZrPa2As4, relaxed, DFT PBE
# volume	185	Å³/cell
# E_form	-1179	meV per atom
data_ErZrPa2As4
_chemical_formula_sum 'Er1 Zr1 Pa2 As4'
_cell_length_a 6.9267
_cell_length_b 4.0540
_cell_length_c 7.0089
_cell_angle_alpha 90.00
_cell_angle_beta 109.77
_cell_angle_gamma 90.00
_symmetry_space_group_name_H-M 'P 1 2/m 1'
_symmetry_Int_Tables_number 10
_symmetry_space_group_name_Hall '-P 2y'
loop_
_atom_site_label
_atom_site_type_symbol
_atom_site_fract_x
_atom_site_fract_y
_atom_site_fract_z
_atom_site_occupancy
Er1 Er 0.0000 0.0000 0.0000 1
Zr1 Zr 0.0000 0.5000 0.5000 1
Pa1 Pa 0.5000 0.0000 0.5000 1
Pa2 Pa 0.5000 0.5000 0.0000 1
As1 As 0.2408 0.0000 0.7432 1
As2 As 0.2435 0.5000 0.2520 1



Record 4
# Ba2SnBiPt, relaxed, DFT PBE
# volume	193	Å³/cell
# E_form	-673	meV per atom
data_Ba2SnBiPt
_chemical_formula_sum 'Ba2 Sn1 Bi1 Pt1'
_cell_length_a 6.1419
_cell_length_b 6.1419
_cell_length_c 5.1054
_cell_angle_alpha 90.00
_cell_angle_beta 90.00
_cell_angle_gamma 90.00
_symmetry_space_group_name_H-M 'P 4/m m m'
_symmetry_Int_Tables_number 123
_symmetry_space_group_name_Hall '-P 4 2'
loop_
_atom_site_label
_atom_site_type_symbol
_atom_site_fract_x
_atom_site_fract_y
_atom_site_fract_z
_atom_site_occupancy
Ba1 Ba 0.0000 0.5000 0.0000 1
Sn1 Sn 0.0000 0.0000 0.5000 1
Bi1 Bi 0.5000 0.5000 0.5000 1
Pt1 Pt 0.0000 0.0000 0.0000 1



Record 5
# NpTl2AsO6, relaxed, DFT PBE
# volume	193	Å³/cell
# ΔE_f (raw)	-1.676	eV/atom
data_NpTl2AsO6
_chemical_formula_sum 'Np1 Tl2 As1 O6'
_cell_length_a 5.7390
_cell_length_b 5.7445
_cell_length_c 7.0028
_cell_angle_alpha 65.97
_cell_angle_beta 65.98
_cell_angle_gamma 79.79
_symmetry_space_group_name_H-M 'P 1'
_symmetry_Int_Tables_number 1
_symmetry_space_group_name_Hall 'P 1'
loop_
_atom_site_label
_atom_site_type_symbol
_atom_site_fract_x
_atom_site_fract_y
_atom_site_fract_z
_atom_site_occupancy
Np1 Np 0.0000 0.0000 0.0000 1
Tl1 Tl 0.2664 0.7631 0.4480 1
Tl2 Tl 0.7521 0.2815 0.4358 1
As1 As 0.4375 0.4396 0.9345 1
O1 O 0.1810 0.1840 0.1136 1
O2 O 0.2017 0.2035 0.7063 1
O3 O 0.2838 0.6651 0.0609 1
O4 O 0.6629 0.2835 0.0609 1
O5 O 0.8090 0.8103 0.3070 1
O6 O 0.8581 0.8514 0.8766 1



Record 6
# AlCu2, relaxed, DFT PBE
# volume	197	Å³/cell
# E_form	479	meV per atom
data_AlCu2
_chemical_formula_sum 'Al4 Cu8'
_cell_length_a 5.8140
_cell_length_b 5.8140
_cell_length_c 5.8140
_cell_angle_alpha 90.00
_cell_angle_beta 90.00
_cell_angle_gamma 90.00
_symmetry_space_group_name_H-M 'P a -3'
_symmetry_Int_Tables_number 205
_symmetry_space_group_name_Hall '-P 2ac 2ab 3'
loop_
_atom_site_label
_atom_site_type_symbol
_atom_site_fract_x
_atom_site_fract_y
_atom_site_fract_z
_atom_site_occupancy
Al1 Al 0.0000 0.0000 0.0000 1
Cu1 Cu 0.1222 0.6222 0.8778 1



Record 7
# ZnCdFe2, relaxed, DFT PBE
# volume	256	Å³/cell
# E_form	558	meV per atom
data_ZnCdFe2
_chemical_formula_sum 'Zn4 Cd4 Fe8'
_cell_length_a 3.7018
_cell_length_b 3.7018
_cell_length_c 18.6576
_cell_angle_alpha 90.00
_cell_angle_beta 90.00
_cell_angle_gamma 90.00
_symmetry_space_group_name_H-M 'I -4 2 d'
_symmetry_Int_Tables_number 122
_symmetry_space_group_name_Hall 'I -4 2bw'
loop_
_atom_site_label
_atom_site_type_symbol
_atom_site_fract_x
_atom_site_fract_y
_atom_site_fract_z
_atom_site_occupancy
Zn1 Zn 0.0000 0.0000 0.0000 1
Cd1 Cd 0.0000 0.0000 0.5000 1
Fe1 Fe 0.2295 0.2500 0.1250 1



Record 8
# Sc2HgMo, relaxed, DFT PBE
# volume	81	Å³/cell
# E_form	89	meV per atom
data_Sc2HgMo
_chemical_formula_sum 'Sc2 Hg1 Mo1'
_cell_length_a 3.6708
_cell_length_b 3.6708
_cell_length_c 6.0249
_cell_angle_alpha 90.00
_cell_angle_beta 90.00
_cell_angle_gamma 90.00
_symmetry_space_group_name_H-M 'P 4 m m'
_symmetry_Int_Tables_number 99
_symmetry_space_group_name_Hall 'P 4 -2'
loop_
_atom_site_label
_atom_site_type_symbol
_atom_site_fract_x
_atom_site_fract_y
_atom_site_fract_z
_atom_site_occupancy
Sc1 Sc 0.0000 0.0000 0.0000 1
Sc2 Sc 0.5000 0.5000 0.3004 1
Hg1 Hg 0.0000 0.0000 0.5323 1
Mo1 Mo 0.5000 0.5000 0.8185 1



Look up the volume of the seventh one. 256 Å³/cell



The lowest volume belongs to which entry? Sc2HgMo



Which of these has the highest volume? Nd4DyHo2